DFT (PBE+U) results for crystalline K3Tb3CrO8 at its relaxed geometry.

a b c (Å): 11.754 6.717 7.385
angles (deg): 90.00 121.64 90.00
Space group C2/m (No. 12)
Unique sites:
1 K 0.000 0.000 0.000
2 K 0.250 0.250 0.000
3 Tb 0.000 0.500 0.500
4 Tb 0.250 0.250 0.500
5 Cr 0.000 0.000 0.500
6 O 0.017 0.219 0.332
7 O 0.210 0.000 0.673
8 O 0.227 0.500 0.685

Calculated values
Uncorrected energy (eV/atom): -6.784
M_tot (μB/f.u.): 2.0